Below is crystalline Zr4SbAsN2 at its relaxed geometry, with properties calculated at the GGA-PBE level.

Cell lengths 3.456, 3.456, 12.958 Å; angles 90.00, 90.00, 120.00 degrees
Fractional coordinates of all 8 atoms:
Zr 0.000 0.000 0.146
Zr 0.000 0.000 0.854
Zr 0.333 0.667 0.330
Zr 0.333 0.667 0.670
Sb 0.000 0.000 0.500
As 0.333 0.667 0.000
N 0.667 0.333 0.239
N 0.667 0.333 0.761

Calculated values
- raw total energy (eV/atom) = -8.677
- volume (A^3/atom) = 16.75